Record 1
Density functional theory data (PBE-GGA) for a relaxed structure of LaAs2Pt.

It has space group C2/m (No. 12), with a = 9.3004 Å, b = 4.1064 Å, c = 6.0319 Å, α = 90.00°, β = 128.72° and γ = 90.00°. The inequivalent atoms are La at (0.0000, 0.0000, 0.0000), As at (0.1961, 0.0000, 0.6972) and Pt at (0.0000, 0.5000, 0.5000).

For the volume, the calculation gives 22.5 Å³/atom. The calculation puts the raw total energy at -47.37 eV per cell. The density of states at the Fermi level comes out at 6.52 states/eV per cell. As for the energy relative to the elements: -0.85 eV/atom. Its total magnetic moment is 0.0 μB/f.u.

Record 2
Density functional theory data (PBE-GGA) for a relaxed structure of LaAs4Pt.

It has space group F-43m (No. 216), with a = 7.9352 Å, b = 7.9352 Å, c = 7.9352 Å, α = 90.00°, β = 90.00° and γ = 90.00°. The inequivalent atoms are La at (0.0000, 0.0000, 0.0000), As at (0.1218, 0.1218, 0.3782) and Pt at (0.2500, 0.2500, 0.7500).

For the volume, the calculation gives 20.8 Å³/atom. The calculation puts the raw total energy at -122.38 eV per cell. The density of states at the Fermi level comes out at 14.35 states/eV per cell. As for the energy relative to the elements: -0.17 eV/atom. Its total magnetic moment is 0.0 μB/f.u.

Record 3
Density functional theory data (PBE-GGA) for a relaxed structure of LaAs3Pt.

It has space group Pm-3m (No. 221), with a = 4.9609 Å, b = 4.9609 Å, c = 4.9609 Å, α = 90.00°, β = 90.00° and γ = 90.00°. The inequivalent atoms are La at (0.0000, 0.0000, 0.0000), As at (0.0000, 0.5000, 0.5000) and Pt at (0.5000, 0.5000, 0.5000).

For the volume, the calculation gives 24.4 Å³/atom. The calculation puts the raw total energy at -26.32 eV per cell. For the offset from the most stable computed form, the calculation gives 0.0 meV/atom. The density of states at the Fermi level comes out at 4.31 states/eV per cell. As for the energy relative to the elements: -0.28 eV/atom. Its total magnetic moment is 0.0 μB/f.u.